# 1
A plane-wave DFT calculation with PBE was carried out for an optimized crystal structure of Dy4Bi3P.

a b c (Å): 4.3227 7.5750 7.5750
angles (deg): 109.04 90.00 90.00
Element x y z (fractional)
1 Bi 0.0000 0.0000 0.5000
2 Dy 0.5000 0.7624 0.2376
3 Bi 0.0000 0.5000 0.0000
4 P 0.5000 0.0000 0.0000
5 Dy 0.0000 0.7717 0.7717
6 Dy 0.5000 0.2376 0.7624
7 Dy 0.0000 0.2283 0.2283
8 Bi 0.5000 0.5000 0.5000

* symmetry: Cmmm, No. 65
* Fermi-level density of states: 0.18 states/eV per atom
* electronic total energy: -43.36 eV per cell
* volume: 29.31 Å³/atom
* ρ: 9.263 Mg/m³

***

# 2
A plane-wave DFT calculation with PBE was carried out for an optimized crystal structure of TaCl.

a b c (Å): 5.7294 6.1826 8.5579
angles (deg): 90.00 90.00 90.00
Element x y z (fractional)
1 Ta 0.7787 0.7423 0.5059
2 Ta 0.4282 0.9112 0.7989
3 Cl 0.2983 0.4502 0.3009
4 Ta 0.0718 0.0888 0.2989
5 Ta 0.9282 0.5888 0.2011
6 Ta 0.2787 0.7577 0.4941
7 Cl 0.2017 0.5498 0.8009
8 Cl 0.7190 0.6545 0.9207
9 Ta 0.7213 0.2577 0.0059
10 Ta 0.2213 0.2423 0.9941
11 Cl 0.2190 0.8455 0.0793
12 Cl 0.7983 0.0498 0.6991
13 Cl 0.2810 0.1545 0.5793
14 Cl 0.7810 0.3455 0.4207
15 Cl 0.7017 0.9502 0.1991
16 Ta 0.5718 0.4112 0.7011

* symmetry: P2_12_12_1, No. 19
* Fermi-level density of states: 0.50 states/eV per atom
* volume: 18.95 Å³/atom
* ρ: 9.483 Mg/m³
* formation energy from raw total energies: 0.135 eV/atom

***

# 3
A plane-wave DFT calculation with PBE was carried out for an optimized crystal structure of SrBe3Os.

a b c (Å): 4.4118 4.4118 4.4118
angles (deg): 90.00 90.00 90.00
Element x y z (fractional)
1 Be 0.0000 0.5000 0.0000
2 Os 0.0000 0.0000 0.0000
3 Be 0.0000 0.0000 0.5000
4 Sr 0.5000 0.5000 0.5000
5 Be 0.5000 0.0000 0.0000

* symmetry: Pm-3m, No. 221
* Fermi-level density of states: 0.27 states/eV per atom
* electronic total energy: -23.56 eV per cell
* volume: 17.17 Å³/atom
* ρ: 5.896 Mg/m³